No. 1
Here is a geometry-optimized PAu2 structure from Alexandria via LeMat-Bulk. Energies are from PBE.

density = 12.8 g cm⁻³
V = 18.34 A^3/atom
E_tot = -0.267 Ry/atom

a = 11.100 Å, b = 11.100 Å, c = 11.100 Å
α = 165.09°, β = 161.77°, γ = 23.63°
Fractional coordinates of all 6 atoms:
P 0.374 0.624 0.750
P 0.626 0.376 0.250
Au 0.800 0.050 0.750
Au 0.200 0.950 0.250
Au 0.944 0.194 0.750
Au 0.056 0.806 0.250



No. 2
Here is a geometry-optimized Ca2SiAu3 structure from Alexandria via LeMat-Bulk. Energies are from PBE.

formation energy from raw total energies = -674 meV/atom
density = 8.7 g cm⁻³
V = 22.24 A^3/atom

a = 3.707 Å, b = 4.540 Å, c = 7.929 Å
α = 90.00°, β = 90.00°, γ = 90.00°
Fractional coordinates of all 6 atoms:
Ca 0.000 0.500 0.993
Ca 0.000 0.000 0.510
Si 0.500 0.500 0.322
Au 0.500 0.000 0.843
Au 0.500 0.000 0.197
Au 0.500 0.500 0.636



No. 3
Here is a geometry-optimized ZrSbRh structure from Alexandria via LeMat-Bulk. Energies are from PBE.

formation energy from raw total energies = -282 meV/atom
density = 8.3 g cm⁻³
V = 21.04 A^3/atom

a = 3.341 Å, b = 3.341 Å, c = 6.531 Å
α = 90.00°, β = 90.00°, γ = 120.00°
Fractional coordinates of all 3 atoms:
Rh 0.000 0.000 0.979
Sb 0.667 0.333 0.319
Zr 0.333 0.667 0.702



No. 4
Here is a geometry-optimized Cd2IrAu structure from Alexandria via LeMat-Bulk. Energies are from PBE.

density = 14.0 g cm⁻³
V = 18.16 A^3/atom
distance to the lowest polymorph of the same formula = 0.53 eV per formula unit

a = 4.683 Å, b = 4.683 Å, c = 4.683 Å
α = 60.00°, β = 60.00°, γ = 60.00°
Fractional coordinates of all 4 atoms:
Ir 0.750 0.750 0.750
Au 0.500 0.500 0.500
Cd 0.000 0.000 0.000
Cd 0.250 0.250 0.250



No. 5
Here is a geometry-optimized ThZn12Co6 structure from Alexandria via LeMat-Bulk. Energies are from PBE.

density = 8.0 g cm⁻³
V = 15.05 A^3/atom
E_tot = -0.245 Ry/atom

a = 6.820 Å, b = 6.820 Å, c = 6.820 Å
α = 103.46°, β = 103.46°, γ = 103.46°
Each line ends with the local moment (μB).
Fractional coordinates of all 19 atoms:
Th 0.000 0.000 0.000  0.01
Zn 0.887 0.113 0.500  -0.01
Zn 0.846 0.584 0.584  -0.01
Zn 0.584 0.584 0.846  -0.01
Zn 0.416 0.154 0.416  -0.01
Zn 0.416 0.416 0.154  -0.01
Zn 0.154 0.416 0.416  -0.01
Zn 0.113 0.500 0.887  -0.01
Zn 0.500 0.887 0.113  -0.01
Zn 0.113 0.887 0.500  -0.01
Zn 0.887 0.500 0.113  -0.01
Zn 0.500 0.113 0.887  -0.01
Zn 0.584 0.846 0.584  -0.01
Co 0.706 0.265 0.265  0.85
Co 0.265 0.265 0.706  0.85
Co 0.265 0.706 0.265  0.85
Co 0.735 0.735 0.294  0.85
Co 0.294 0.735 0.735  0.85
Co 0.735 0.294 0.735  0.85



No. 6
Here is a geometry-optimized MoRhCl structure from Alexandria via LeMat-Bulk. Energies are from PBE.

formation energy from raw total energies = 517 meV/atom
density = 7.3 g cm⁻³
V = 17.67 A^3/atom
distance to the lowest polymorph of the same formula = 1.49 eV per formula unit

a = 4.217 Å, b = 4.217 Å, c = 4.217 Å
α = 60.00°, β = 60.00°, γ = 60.00°
Fractional coordinates of all 3 atoms:
Cl 0.500 0.500 0.500
Mo 0.750 0.750 0.750
Rh 0.000 0.000 0.000